one | Compound: Gd2MgBi
Source: the Alexandria database
Functional: GGA-PBE
Structure: relaxed Values from VASP.

Computed properties:
Symmetry: Fm-3m
Magnetization in μB/cell: 15.2

Structure (Quantum ESPRESSO input):
```
&SYSTEM
  ibrav = 0, nat = 4, ntyp = 3
/
ATOMIC_SPECIES
Gd 157.25 Gd.upf
Mg 24.30 Mg.upf
Bi 208.98 Bi.upf
ATOMIC_POSITIONS crystal
Gd 0.250 0.250 0.250
Gd 0.750 0.750 0.750
Mg 0.000 0.000 0.000
Bi 0.500 0.500 0.500
CELL_PARAMETERS angstrom
0.000 3.864 3.864
3.864 0.000 3.864
3.864 3.864 0.000
```

=====

two | Compound: Gd2MgBi
Source: the Alexandria database
Functional: GGA-PBE
Structure: relaxed Values from VASP.

Computed properties:
Symmetry: R-3m
Magnetization in μB/cell: 14.6

Structure (Quantum ESPRESSO input):
```
&SYSTEM
  ibrav = 0, nat = 4, ntyp = 3
/
ATOMIC_SPECIES
Gd 157.25 Gd.upf
Mg 24.30 Mg.upf
Bi 208.98 Bi.upf
ATOMIC_POSITIONS crystal
Gd 0.091 0.091 0.091
Gd 0.909 0.909 0.909
Mg 0.500 0.500 0.500
Bi 0.000 0.000 0.000
CELL_PARAMETERS angstrom
1.757 1.015 11.665
-1.757 1.015 11.665
0.000 -2.029 11.665
```

=====

Top of the stability list: one, leading by 374 meV per atom.

=====

one | Compound: NaGdBi2
Source: the Alexandria database
Functional: GGA-PBE
Structure: relaxed Values from VASP.

Computed properties:
Symmetry: P4/mmm
Magnetization in μB/cell: 7.5

Structure (Quantum ESPRESSO input):
```
&SYSTEM
  ibrav = 0, nat = 4, ntyp = 3
/
ATOMIC_SPECIES
Na 22.99 Na.upf
Gd 157.25 Gd.upf
Bi 208.98 Bi.upf
ATOMIC_POSITIONS crystal
Na 0.000 0.000 0.000
Gd 0.000 0.000 0.500
Bi 0.500 0.500 0.255
Bi 0.500 0.500 0.745
CELL_PARAMETERS angstrom
3.613 0.000 0.000
0.000 3.613 0.000
0.000 0.000 9.191
```

=====

two | Compound: NaGdBi2
Source: the Alexandria database
Functional: GGA-PBE
Structure: relaxed Values from VASP.

Computed properties:
Symmetry: Fm-3m
Magnetization in μB/cell: 7.4

Structure (Quantum ESPRESSO input):
```
&SYSTEM
  ibrav = 0, nat = 4, ntyp = 3
/
ATOMIC_SPECIES
Na 22.99 Na.upf
Gd 157.25 Gd.upf
Bi 208.98 Bi.upf
ATOMIC_POSITIONS crystal
Na 0.000 0.000 0.000
Gd 0.500 0.500 0.500
Bi 0.250 0.250 0.250
Bi 0.750 0.750 0.750
CELL_PARAMETERS angstrom
0.000 3.911 3.911
3.911 0.000 3.911
3.911 3.911 0.000
```

=====

Top of the stability list: one, leading by 80 meV per atom.

=====

one | Compound: NdGd2Bi
Source: the Alexandria database
Functional: GGA-PBE
Structure: relaxed Values from VASP.

Computed properties:
Symmetry: P4/mmm
Magnetization in μB/cell: 15.0

Structure (Quantum ESPRESSO input):
```
&SYSTEM
  ibrav = 0, nat = 4, ntyp = 3
/
ATOMIC_SPECIES
Nd 144.24 Nd.upf
Gd 157.25 Gd.upf
Bi 208.98 Bi.upf
ATOMIC_POSITIONS crystal
Nd 0.000 0.000 0.000
Gd 0.000 0.500 0.500
Gd 0.500 0.000 0.500
Bi 0.500 0.500 0.000
CELL_PARAMETERS angstrom
4.929 0.000 0.000
0.000 4.929 0.000
0.000 0.000 4.981
```

=====

two | Compound: NdGd2Bi
Source: the Alexandria database
Functional: GGA-PBE
Structure: relaxed Values from VASP.

Computed properties:
Symmetry: P4/mmm
Magnetization in μB/cell: 15.8

Structure (Quantum ESPRESSO input):
```
&SYSTEM
  ibrav = 0, nat = 4, ntyp = 3
/
ATOMIC_SPECIES
Nd 144.24 Nd.upf
Gd 157.25 Gd.upf
Bi 208.98 Bi.upf
ATOMIC_POSITIONS crystal
Nd 0.000 0.000 0.000
Gd 0.500 0.500 0.278
Gd 0.500 0.500 0.722
Bi 0.000 0.000 0.500
CELL_PARAMETERS angstrom
4.122 0.000 0.000
0.000 4.122 0.000
0.000 0.000 7.379
```

=====

Top of the stability list: one, leading by 14 meV per atom.

=====

one | Compound: Gd2BiO
Source: the Alexandria database
Functional: GGA-PBE
Structure: relaxed Values from VASP.

Computed properties:
Symmetry: R-3m
Magnetization in μB/cell: 14.0

Structure (Quantum ESPRESSO input):
```
&SYSTEM
  ibrav = 0, nat = 4, ntyp = 3
/
ATOMIC_SPECIES
Gd 157.25 Gd.upf
Bi 208.98 Bi.upf
O 16.00 O.upf
ATOMIC_POSITIONS crystal
Gd 0.223 0.223 0.223
Gd 0.777 0.777 0.777
Bi 0.000 0.000 0.000
O 0.500 0.500 0.500
CELL_PARAMETERS angstrom
1.846 1.066 7.575
-1.846 1.066 7.575
0.000 -2.131 7.575
```

=====

two | Compound: Gd2BiO
Source: the Alexandria database
Functional: GGA-PBE
Structure: relaxed Values from VASP.

Computed properties:
Symmetry: P4/mmm
Magnetization in μB/cell: 14.9

Structure (Quantum ESPRESSO input):
```
&SYSTEM
  ibrav = 0, nat = 4, ntyp = 3
/
ATOMIC_SPECIES
Gd 157.25 Gd.upf
Bi 208.98 Bi.upf
O 16.00 O.upf
ATOMIC_POSITIONS crystal
Gd 0.000 0.000 0.197
Gd 0.000 0.000 0.803
Bi 0.500 0.500 0.500
O 0.500 0.500 0.000
CELL_PARAMETERS angstrom
3.312 0.000 0.000
0.000 3.312 0.000
0.000 0.000 7.790
```

=====

Top of the stability list: one, leading by 475 meV per atom.

=====

one | Compound: Gd2PaBi
Source: the Alexandria database
Functional: GGA-PBE
Structure: relaxed Values from VASP.

Computed properties:
Symmetry: P4/mmm
Magnetization in μB/cell: 13.8

Structure (Quantum ESPRESSO input):
```
&SYSTEM
  ibrav = 0, nat = 4, ntyp = 3
/
ATOMIC_SPECIES
Gd 157.25 Gd.upf
Pa 231.04 Pa.upf
Bi 208.98 Bi.upf
ATOMIC_POSITIONS crystal
Gd 0.000 0.000 0.234
Gd 0.000 0.000 0.766
Pa 0.500 0.500 0.500
Bi 0.500 0.500 0.000
CELL_PARAMETERS angstrom
3.909 0.000 0.000
0.000 3.909 0.000
0.000 0.000 7.494
```

=====

two | Compound: Gd2PaBi
Source: the Alexandria database
Functional: GGA-PBE
Structure: relaxed Values from VASP.

Computed properties:
Symmetry: P4/mmm
Magnetization in μB/cell: 14.4

Structure (Quantum ESPRESSO input):
```
&SYSTEM
  ibrav = 0, nat = 4, ntyp = 3
/
ATOMIC_SPECIES
Gd 157.25 Gd.upf
Pa 231.04 Pa.upf
Bi 208.98 Bi.upf
ATOMIC_POSITIONS crystal
Gd 0.000 0.500 0.000
Gd 0.500 0.000 0.000
Pa 0.000 0.000 0.500
Bi 0.500 0.500 0.500
CELL_PARAMETERS angstrom
4.936 0.000 0.000
0.000 4.936 0.000
0.000 0.000 4.563
```

=====

Top of the stability list: one, leading by 33 meV per atom.

=====

one | Compound: GdBiPb
Source: the Alexandria database
Functional: GGA-PBE
Structure: relaxed Values from VASP.

Computed properties:
Symmetry: P3m1
Magnetization in μB/cell: 7.4

Structure (Quantum ESPRESSO input):
```
&SYSTEM
  ibrav = 0, nat = 3, ntyp = 3
/
ATOMIC_SPECIES
Gd 157.25 Gd.upf
Bi 208.98 Bi.upf
Pb 207.20 Pb.upf
ATOMIC_POSITIONS crystal
Gd 0.000 0.000 0.000
Bi 0.667 0.333 0.502
Pb 0.333 0.667 0.499
CELL_PARAMETERS angstrom
5.598 0.000 0.000
-2.799 4.848 0.000
0.000 0.000 3.389
```

=====

two | Compound: GdBiPb
Source: the Alexandria database
Functional: GGA-PBE
Structure: relaxed Values from VASP.

Computed properties:
Symmetry: I4mm
Magnetization in μB/cell: 7.4

Structure (Quantum ESPRESSO input):
```
&SYSTEM
  ibrav = 0, nat = 3, ntyp = 3
/
ATOMIC_SPECIES
Gd 157.25 Gd.upf
Bi 208.98 Bi.upf
Pb 207.20 Pb.upf
ATOMIC_POSITIONS crystal
Gd 0.000 0.000 0.000
Bi 0.647 0.647 0.000
Pb 0.331 0.331 0.000
CELL_PARAMETERS angstrom
-2.063 2.063 5.294
2.063 -2.063 5.294
2.063 2.063 -5.294
```

=====

Top of the stability list: two, leading by 93 meV per atom.

=====

one | Compound: Gd2BiPd
Source: the Alexandria database
Functional: GGA-PBE
Structure: relaxed Values from VASP.

Computed properties:
Symmetry: P4/mmm
Magnetization in μB/cell: 14.3

Structure (Quantum ESPRESSO input):
```
&SYSTEM
  ibrav = 0, nat = 4, ntyp = 3
/
ATOMIC_SPECIES
Gd 157.25 Gd.upf
Bi 208.98 Bi.upf
Pd 106.42 Pd.upf
ATOMIC_POSITIONS crystal
Gd 0.000 0.000 0.223
Gd 0.000 0.000 0.777
Bi 0.500 0.500 0.500
Pd 0.500 0.500 0.000
CELL_PARAMETERS angstrom
3.709 0.000 0.000
0.000 3.709 0.000
0.000 0.000 7.531
```

=====

two | Compound: Gd2BiPd
Source: the Alexandria database
Functional: GGA-PBE
Structure: relaxed Values from VASP.

Computed properties:
Symmetry: Fm-3m
Magnetization in μB/cell: 14.9

Structure (Quantum ESPRESSO input):
```
&SYSTEM
  ibrav = 0, nat = 4, ntyp = 3
/
ATOMIC_SPECIES
Gd 157.25 Gd.upf
Bi 208.98 Bi.upf
Pd 106.42 Pd.upf
ATOMIC_POSITIONS crystal
Gd 0.250 0.250 0.250
Gd 0.750 0.750 0.750
Bi 0.000 0.000 0.000
Pd 0.500 0.500 0.500
CELL_PARAMETERS angstrom
0.000 3.720 3.720
3.720 0.000 3.720
3.720 3.720 0.000
```

=====

Top of the stability list: one, leading by 18 meV per atom.